Record 1
Crystalline Tm2Ni3Sn2 at its relaxed geometry, computed with GGA-PBE.

Results
- space group = No. 199
- ρ (g cm⁻³) = 8.89
- DFT formation energy (meV per atom) = -391

a b c (Å): 7.1433 7.1433 7.1433
angles (deg): 109.47 109.47 109.47
Fractional coordinates of all 14 atoms:
Ni (0.5336, 0.2836, 0.7500)
Tm (0.0000, 0.0000, 0.4921)
Sn (0.4146, 0.5000, 0.0000)
Sn (0.0000, 0.0000, 0.9146)
Ni (0.7836, 0.7500, 0.0336)
Sn (0.5000, 0.9146, 0.5000)
Sn (0.0854, 0.5854, 0.5854)
Tm (0.5079, 0.0079, 0.0079)
Ni (0.2500, 0.0336, 0.2836)
Ni (0.7500, 0.4664, 0.2164)
Ni (0.7164, 0.2500, 0.4664)
Tm (0.5000, 0.4921, 0.5000)
Tm (0.9921, 0.5000, 0.0000)
Ni (0.9664, 0.2164, 0.2500)

---

Record 2
Crystalline TmNiSn2 at its relaxed geometry, computed with GGA-PBE.

Results
- space group = No. 53
- ρ (g cm⁻³) = 8.66
- DFT formation energy (meV per atom) = -325

a b c (Å): 6.9252 9.5065 5.4195
angles (deg): 90.00 90.00 90.00
Fractional coordinates of all 16 atoms:
Tm (0.5000, 0.6928, 0.5000)
Sn (0.3477, 0.0000, 0.7310)
Tm (0.0000, 0.1928, 0.5000)
Sn (0.7500, 0.7500, 0.9654)
Sn (0.1523, 0.5000, 0.7310)
Ni (0.7742, 0.5000, 0.7329)
Tm (0.0000, 0.8072, 0.5000)
Ni (0.7258, 0.0000, 0.7329)
Ni (0.2258, 0.5000, 0.2671)
Sn (0.8477, 0.5000, 0.2690)
Ni (0.2742, 0.0000, 0.2671)
Sn (0.6523, 0.0000, 0.2690)
Sn (0.7500, 0.2500, 0.9654)
Sn (0.2500, 0.2500, 0.0346)
Tm (0.5000, 0.3072, 0.5000)
Sn (0.2500, 0.7500, 0.0346)

---

Number 1 is which compound?
Tm2Ni3Sn2

---

DFT formation energy of number 1 (Tm2Ni3Sn2)?
-391 meV per atom

---

Which formula does entry 2 have?
TmNiSn2

---

DFT formation energy of number 2 (TmNiSn2)?
-325 meV per atom